a | PrCdPb2 | GGA-PBE | optimized geometry

The structure in POSCAR format:
```
PrCdPb2
1.0
-4.585 2.132 -2.135
-4.376 -3.201 -0.855
-4.474 0.575 3.128
Pr Pb Cd
1 2 1
Direct
0.000 0.000 0.000 Pr
0.250 0.250 0.250 Pb
0.750 0.750 0.750 Pb
0.500 0.500 0.500 Cd
```

Computed properties:
Total moment = 0.0 μB per formula unit
Mass density = 9.48 Mg/m³
SG = Fm-3m


b | PrCdPb2 | GGA-PBE | optimized geometry

The structure in POSCAR format:
```
PrCdPb2
1.0
4.647 0.000 0.000
0.000 4.935 0.000
0.000 0.000 4.935
Pr Cd Pb
1 1 2
Direct
0.500 0.500 0.500 Pr
0.500 0.000 0.000 Cd
0.000 0.000 0.500 Pb
0.000 0.500 0.000 Pb
```

Computed properties:
Total moment = 0.0 μB per formula unit
Mass density = 9.80 Mg/m³
SG = P4/mmm


c | PrCdPb2 | GGA-PBE | optimized geometry

The structure in POSCAR format:
```
PrCdPb2
1.0
-0.167 3.243 -1.526
-1.369 0.363 -3.297
-10.866 2.772 2.865
Cd Pr Pb
1 1 2
Direct
0.500 0.500 0.500 Cd
0.000 0.000 0.000 Pr
0.095 0.095 0.715 Pb
0.905 0.905 0.285 Pb
```

Computed properties:
Total moment = 0.0 μB per formula unit
Mass density = 8.73 Mg/m³
SG = R-3m


What should be chosen as the least stable of them? Choose c.


a | PrCdPb3 | GGA-PBE | optimized geometry

The structure in POSCAR format:
```
PrCdPb3
1.0
5.529 0.000 0.000
0.000 6.639 0.000
0.000 0.000 8.740
Pb Pr Cd
6 2 2
Direct
0.500 0.758 0.726 Pb
0.000 0.000 0.914 Pb
0.500 0.500 0.086 Pb
0.500 0.242 0.726 Pb
0.000 0.258 0.274 Pb
0.000 0.742 0.274 Pb
0.500 0.000 0.121 Pr
0.000 0.500 0.879 Pr
0.500 0.500 0.430 Cd
0.000 0.000 0.570 Cd
```

Computed properties:
Total moment = 0.0 μB per formula unit
Mass density = 9.06 Mg/m³
SG = Pmmn


b | PrCdPb3 | GGA-PBE | optimized geometry

The structure in POSCAR format:
```
PrCdPb3
1.0
3.998 0.003 -1.558
0.000 7.777 -0.002
-2.283 -0.002 5.927
Pb Cd Pr
3 1 1
Direct
0.490 0.949 0.820 Pb
0.490 0.341 0.820 Pb
0.992 0.645 0.322 Pb
0.993 0.645 0.823 Cd
0.489 0.145 0.320 Pr
```

Computed properties:
Total moment = 0.0 μB per formula unit
Mass density = 9.28 Mg/m³
SG = Pm


What should be chosen as the least stable of them? Choose a.


a | PrTlCdPb | GGA-PBE | optimized geometry

The structure in POSCAR format:
```
PrTlCdPb
1.0
-2.941 -0.188 3.619
3.330 -2.697 2.567
1.910 4.035 1.762
Pb Tl Pr Cd
1 1 1 1
Direct
0.000 0.500 0.500 Pb
0.000 0.000 0.000 Tl
0.500 0.500 0.000 Pr
0.500 0.000 0.500 Cd
```

Computed properties:
Total moment = 0.0 μB per formula unit
Mass density = 9.87 Mg/m³
SG = Pmmm


b | PrTlCdPb | GGA-PBE | optimized geometry

The structure in POSCAR format:
```
PrTlCdPb
1.0
-2.998 0.789 -4.494
-5.289 -1.354 -0.026
-3.817 3.903 -0.085
Cd Tl Pb Pr
1 1 1 1
Direct
0.750 0.750 0.750 Cd
0.000 0.000 0.000 Tl
0.500 0.500 0.500 Pb
0.250 0.250 0.250 Pr
```

Computed properties:
Total moment = 0.0 μB per formula unit
Mass density = 9.59 Mg/m³
SG = F-43m


What should be chosen as the least stable of them? Choose b.


a | Pu2CdPb | GGA-PBE | optimized geometry

The structure in POSCAR format:
```
Pu2CdPb
1.0
4.910 0.000 0.000
0.000 4.624 0.000
0.000 0.000 4.624
Pu Cd Pb
2 1 1
Direct
0.000 0.000 0.500 Pu
0.000 0.500 0.000 Pu
0.500 0.000 0.000 Cd
0.500 0.500 0.500 Pb
```

Computed properties:
Total moment = 11.8 μB per formula unit
Mass density = 12.78 Mg/m³
SG = P4/mmm


b | Pu2CdPb | GGA-PBE | optimized geometry

The structure in POSCAR format:
```
Pu2CdPb
1.0
5.402 0.000 0.000
2.701 4.678 0.000
2.701 1.559 4.411
Pb Cd Pu
1 1 2
Direct
0.000 0.000 0.000 Pb
0.500 0.500 0.500 Cd
0.750 0.750 0.750 Pu
0.250 0.250 0.250 Pu
```

Computed properties:
Total moment = 12.1 μB per formula unit
Mass density = 12.03 Mg/m³
SG = Fm-3m


What should be chosen as the least stable of them? Choose b.


a | RbCdPb4 | GGA-PBE | optimized geometry

The structure in POSCAR format:
```
RbCdPb4
1.0
5.087 0.000 -1.320
0.000 7.774 0.000
-0.076 0.000 10.173
Cd Pb Rb
2 8 2
Direct
0.781 0.250 0.562 Cd
0.219 0.750 0.438 Cd
0.676 0.548 0.352 Pb
0.062 0.750 0.123 Pb
0.324 0.048 0.648 Pb
0.938 0.250 0.877 Pb
0.500 0.000 0.000 Pb
0.676 0.952 0.352 Pb
0.324 0.452 0.648 Pb
0.500 0.500 0.000 Pb
0.874 0.750 0.749 Rb
0.126 0.250 0.251 Rb
```

Computed properties:
Total moment = 0.0 μB per formula unit
Mass density = 8.49 Mg/m³
SG = Cmcm


b | RbCdPb4 | GGA-PBE | optimized geometry

The structure in POSCAR format:
```
RbCdPb4
1.0
6.676 0.000 0.000
3.338 5.781 0.000
3.338 1.927 5.451
Pb Cd Rb
4 1 1
Direct
0.625 0.625 0.625 Pb
0.126 0.625 0.625 Pb
0.625 0.625 0.126 Pb
0.625 0.126 0.625 Pb
0.250 0.250 0.250 Cd
0.000 0.000 0.000 Rb
```

Computed properties:
Total moment = 0.0 μB per formula unit
Mass density = 8.10 Mg/m³
SG = F-43m


What should be chosen as the least stable of them? Choose b.


a | RbCd2Pb2 | GGA-PBE | optimized geometry

The structure in POSCAR format:
```
RbCd2Pb2
1.0
8.224 0.009 1.004
4.086 5.693 1.190
5.112 0.731 7.800
Cd Pb Rb
4 4 2
Direct
0.890 0.759 0.898 Cd
0.110 0.241 0.102 Cd
0.623 0.423 0.215 Cd
0.377 0.577 0.785 Cd
0.473 0.816 0.911 Pb
0.273 0.826 0.437 Pb
0.727 0.174 0.563 Pb
0.527 0.184 0.089 Pb
0.102 0.269 0.683 Rb
0.898 0.731 0.317 Rb
```

Computed properties:
Total moment = 0.0 μB per formula unit
Mass density = 7.26 Mg/m³
SG = P-1


b | RbCd2Pb2 | GGA-PBE | optimized geometry

The structure in POSCAR format:
```
RbCd2Pb2
1.0
5.114 0.000 0.000
0.000 5.114 0.000
0.000 0.000 12.860
Rb Pb Cd
2 4 4
Direct
0.500 0.000 0.255 Rb
0.000 0.500 0.745 Rb
0.000 0.000 0.000 Pb
0.500 0.000 0.630 Pb
0.500 0.500 0.000 Pb
0.000 0.500 0.370 Pb
0.500 0.000 0.861 Cd
0.500 0.500 0.500 Cd
0.000 0.000 0.500 Cd
0.000 0.500 0.139 Cd
```

Computed properties:
Total moment = 0.0 μB per formula unit
Mass density = 7.16 Mg/m³
SG = P4/nmm


c | RbCd2Pb2 | GGA-PBE | optimized geometry

The structure in POSCAR format:
```
RbCd2Pb2
1.0
9.504 0.000 0.000
0.000 9.504 0.000
0.000 0.000 3.527
Cd Pb Rb
4 4 2
Direct
0.656 0.844 0.500 Cd
0.344 0.156 0.500 Cd
0.156 0.656 0.500 Cd
0.844 0.344 0.500 Cd
0.133 0.367 0.000 Pb
0.367 0.867 0.000 Pb
0.633 0.133 0.000 Pb
0.867 0.633 0.000 Pb
0.500 0.500 0.000 Rb
0.000 0.000 0.000 Rb
```

Computed properties:
Total moment = 0.0 μB per formula unit
Mass density = 7.55 Mg/m³
SG = P4/mbm


d | RbCd2Pb2 | GGA-PBE | optimized geometry

The structure in POSCAR format:
```
RbCd2Pb2
1.0
-3.304 -3.451 1.554
2.853 -0.916 4.032
-3.515 2.493 6.182
Cd Pb Rb
2 2 1
Direct
0.393 0.393 0.214 Cd
0.607 0.607 0.786 Cd
0.250 0.750 0.500 Pb
0.750 0.250 0.500 Pb
0.000 0.000 0.000 Rb
```

Computed properties:
Total moment = 0.0 μB per formula unit
Mass density = 7.17 Mg/m³
SG = I4/mmm


What should be chosen as the least stable of them? Choose c.


a | RbCd2Pb3 | GGA-PBE | optimized geometry

The structure in POSCAR format:
```
RbCd2Pb3
1.0
5.003 0.000 0.000
-2.501 9.827 -3.094
0.000 0.146 12.456
Pb Cd Rb
9 6 3
Direct
0.500 0.000 0.500 Pb
0.790 0.579 0.643 Pb
0.052 0.104 0.360 Pb
0.628 0.256 0.197 Pb
0.210 0.421 0.357 Pb
0.372 0.744 0.803 Pb
0.338 0.676 0.050 Pb
0.662 0.324 0.950 Pb
0.948 0.896 0.640 Pb
0.650 0.300 0.469 Cd
0.199 0.399 0.096 Cd
0.475 0.949 0.224 Cd
0.525 0.051 0.776 Cd
0.801 0.601 0.904 Cd
0.350 0.700 0.531 Cd
0.156 0.312 0.708 Rb
0.000 0.000 0.000 Rb
0.844 0.688 0.292 Rb
```

Computed properties:
Total moment = 0.0 μB per formula unit
Mass density = 7.55 Mg/m³
SG = C2/m


b | RbCd2Pb3 | GGA-PBE | optimized geometry

The structure in POSCAR format:
```
RbCd2Pb3
1.0
5.784 0.000 0.000
0.000 8.628 0.268
0.000 -1.470 8.506
Pb Rb Cd
6 2 4
Direct
0.750 0.065 0.065 Pb
0.250 0.922 0.545 Pb
0.250 0.935 0.935 Pb
0.750 0.078 0.455 Pb
0.250 0.545 0.922 Pb
0.750 0.455 0.078 Pb
0.750 0.674 0.674 Rb
0.250 0.326 0.326 Rb
0.500 0.227 0.773 Cd
0.000 0.227 0.773 Cd
0.500 0.773 0.227 Cd
0.000 0.773 0.227 Cd
```

Computed properties:
Total moment = 0.0 μB per formula unit
Mass density = 7.25 Mg/m³
SG = Cmcm


What should be chosen as the least stable of them? Choose b.


a | RbCd3Pb3 | GGA-PBE | optimized geometry

The structure in POSCAR format:
```
RbCd3Pb3
1.0
-6.645 -1.573 -4.724
-2.517 -5.737 5.450
-4.296 5.793 4.115
Pb Cd Rb
6 6 2
Direct
0.500 0.000 0.750 Pb
0.750 0.500 0.000 Pb
0.000 0.250 0.500 Pb
0.000 0.750 0.500 Pb
0.500 0.000 0.250 Pb
0.250 0.500 0.000 Pb
0.250 0.000 0.500 Cd
0.000 0.500 0.750 Cd
0.500 0.750 0.000 Cd
0.000 0.500 0.250 Cd
0.750 0.000 0.500 Cd
0.500 0.250 0.000 Cd
0.000 0.000 0.000 Rb
0.500 0.500 0.500 Rb
```

Computed properties:
Total moment = 0.0 μB per formula unit
Mass density = 6.06 Mg/m³
SG = Pm-3n


b | RbCd3Pb3 | GGA-PBE | optimized geometry

The structure in POSCAR format:
```
RbCd3Pb3
1.0
-7.778 -2.445 -3.599
-6.013 -4.363 4.924
-7.325 3.624 2.333
Cd Pb Rb
6 6 2
Direct
0.969 0.899 0.832 Cd
0.700 0.031 0.168 Cd
0.300 0.969 0.832 Cd
0.101 0.700 0.168 Cd
0.899 0.300 0.832 Cd
0.031 0.101 0.168 Cd
0.365 0.270 0.416 Pb
0.051 0.635 0.584 Pb
0.635 0.730 0.584 Pb
0.270 0.949 0.416 Pb
0.730 0.051 0.584 Pb
0.949 0.365 0.416 Pb
0.624 0.624 0.128 Rb
0.376 0.376 0.872 Rb
```

Computed properties:
Total moment = 0.0 μB per formula unit
Mass density = 7.45 Mg/m³
SG = R-3


What should be chosen as the least stable of them? Choose a.


a | CdRePb | GGA-PBE | optimized geometry

The structure in POSCAR format:
```
CdRePb
1.0
-2.287 -6.760 -2.327
0.633 -5.360 -5.216
2.413 5.127 4.922
Cd Pb Re
1 1 1
Direct
0.030 0.030 0.000 Cd
0.309 0.309 0.000 Pb
0.661 0.661 0.000 Re
```

Computed properties:
Total moment = 1.1 μB per formula unit
Mass density = 12.42 Mg/m³
SG = I4mm


b | CdRePb | GGA-PBE | optimized geometry

The structure in POSCAR format:
```
CdRePb
1.0
5.474 0.000 -0.002
2.983 4.590 0.002
-3.792 -3.098 2.446
Cd Re Pb
1 1 1
Direct
0.985 0.985 0.000 Cd
0.342 0.342 0.000 Re
0.673 0.673 0.000 Pb
```

Computed properties:
Total moment = 0.0 μB per formula unit
Mass density = 13.66 Mg/m³
SG = Imm2


What should be chosen as the least stable of them? Choose b.


a | CdRePb | GGA-PBE | optimized geometry

The structure in POSCAR format:
```
CdRePb
1.0
3.009 0.000 0.000
-1.504 2.606 0.000
0.000 0.000 8.579
Pb Cd Re
1 1 1
Direct
0.667 0.333 0.379 Pb
0.000 0.000 0.951 Cd
0.333 0.667 0.670 Re
```

Computed properties:
Total moment = 0.0 μB per formula unit
Mass density = 12.49 Mg/m³
SG = P3m1


b | CdRePb | GGA-PBE | optimized geometry

The structure in POSCAR format:
```
CdRePb
1.0
5.657 0.012 0.000
3.510 4.436 0.000
-4.583 -2.224 2.459
Re Pb Cd
1 1 1
Direct
0.668 0.668 0.000 Re
0.318 0.318 0.000 Pb
0.014 0.014 0.000 Cd
```

Computed properties:
Total moment = 0.0 μB per formula unit
Mass density = 13.64 Mg/m³
SG = I4mm


c | CdRePb | GGA-PBE | optimized geometry

The structure in POSCAR format:
```
CdRePb
1.0
-4.553 1.608 -1.151
2.482 -2.903 -3.171
-1.147 -2.349 1.253
Cd Pb Re
1 1 1
Direct
0.000 0.000 0.000 Cd
0.667 0.333 0.499 Pb
0.333 0.667 0.501 Re
```

Computed properties:
Total moment = 0.0 μB per formula unit
Mass density = 13.58 Mg/m³
SG = P3m1


d | CdRePb | GGA-PBE | optimized geometry

The structure in POSCAR format:
```
CdRePb
1.0
-3.304 1.062 8.359
-1.733 -1.411 8.567
1.395 2.394 0.974
Pb Cd Re
1 1 1
Direct
0.308 0.308 0.692 Pb
0.026 0.026 0.974 Cd
0.665 0.665 0.335 Re
```

Computed properties:
Total moment = 0.0 μB per formula unit
Mass density = 12.25 Mg/m³
SG = Fmm2


What should be chosen as the least stable of them? Choose c.